Pm2ThNi2 (PBE, relaxed); energy relative to the lowest polymorph listed for this composition = 0.000 eV/atom; symmetry = No. 15; formation enthalpy at 0 K = -0.317 eV/atom; DOS at the Fermi energy = 1.078 states/eV/atom
1.0
5.492 -3.138 0.000
5.492 3.138 0.000
-1.382 0.000 7.077
Pm Th Ni
4 2 4
direct
0.050 0.257 0.151
0.257 0.050 0.651
0.743 0.950 0.349
0.950 0.743 0.849
0.416 0.584 0.250
0.584 0.416 0.750
0.189 0.515 0.497
0.485 0.811 0.003
0.515 0.189 0.997
0.811 0.485 0.503

=====

ErCdAu (PBE, relaxed); symmetry = No. 194; formation enthalpy at 0 K = -0.652 eV/atom; DOS at the Fermi energy = 0.618 states/eV/atom
1.0
5.071 0.000 0.000
-2.535 4.391 0.000
0.000 0.000 6.025
Er Cd Au
2 2 2
direct
0.333 0.667 0.250
0.667 0.333 0.750
0.000 0.000 0.000
0.000 0.000 0.500
0.333 0.667 0.750
0.667 0.333 0.250

=====

AlIrCl2 (PBE, relaxed); energy relative to the lowest polymorph listed for this composition = 0.349 eV/atom; symmetry = No. 44; formation energy from raw total energies = -198 meV per atom; DOS at the Fermi energy = 0.516 states/eV/atom
1.0
-1.492 4.068 4.529
1.492 -4.068 4.529
1.492 4.068 -4.529
Al Ir Cl
1 1 2
direct
0.000 0.000 0.000
0.781 0.281 0.500
0.193 0.693 0.500
0.589 0.589 0.000

=====

SrMn2Tl (PBE, relaxed); energy relative to the lowest polymorph listed for this composition = 0.144 eV/atom; symmetry = No. 44; formation enthalpy at 0 K = 0.532 eV/atom; DOS at the Fermi energy = 0.954 states/eV/atom
1.0
-1.795 2.623 5.128
1.795 -2.623 5.128
1.795 2.623 -5.128
Sr Mn Tl
1 2 1
direct
0.000 0.000 0.000
0.510 0.510 0.000
0.716 0.216 0.500
0.281 0.781 0.500

=====

Tl2Cd (PBE, relaxed); energy relative to the lowest polymorph listed for this composition = 0.141 eV/atom; symmetry = No. 194; formation enthalpy at 0 K = 0.172 eV/atom; DOS at the Fermi energy = 0.398 states/eV/atom
1.0
6.583 0.000 0.000
-3.292 5.701 0.000
0.000 0.000 10.043
Tl Cd
8 4
direct
0.000 0.000 0.000
0.000 0.000 0.500
0.174 0.348 0.250
0.174 0.826 0.250
0.348 0.174 0.750
0.652 0.826 0.250
0.826 0.174 0.750
0.826 0.652 0.750
0.333 0.667 0.584
0.333 0.667 0.916
0.667 0.333 0.084
0.667 0.333 0.416

=====

ScTeAu2 (PBE, relaxed); symmetry = No. 25; formation energy from raw total energies = -505 meV per atom; DOS at the Fermi energy = 0.526 states/eV/atom
1.0
3.731 0.000 0.000
0.000 3.763 0.000
0.000 0.000 6.336
Sc Te Au
1 1 2
direct
0.000 0.000 0.000
0.500 0.500 0.208
0.000 0.000 0.570
0.500 0.500 0.740

=====

Cd2PdPt (PBE, relaxed); symmetry = No. 123; formation enthalpy at 0 K = -0.336 eV/atom; DOS at the Fermi energy = 0.513 states/eV/atom
1.0
3.271 0.000 0.000
0.000 3.271 0.000
0.000 0.000 6.582
Cd Pd Pt
2 1 1
direct
0.000 0.000 0.249
0.000 0.000 0.751
0.500 0.500 0.000
0.500 0.500 0.500

=====

Tc3PbC (PBE, relaxed); energy relative to the lowest polymorph listed for this composition = 0.000 eV/atom; symmetry = No. 221; formation enthalpy at 0 K = 0.371 eV/atom; DOS at the Fermi energy = 0.560 states/eV/atom
1.0
4.191 0.000 0.000
0.000 4.191 0.000
0.000 0.000 4.191
Tc Pb C
3 1 1
direct
0.000 0.000 0.500
0.000 0.500 0.000
0.500 0.000 0.000
0.500 0.500 0.500
0.000 0.000 0.000

=====

BaMgH2S (PBE, relaxed); symmetry = No. 123; DOS at the Fermi energy = 0.000 states/eV/atom; VASP energy = -18.77 eV per cell
1.0
4.366 0.000 0.000
0.000 4.366 0.000
0.000 0.000 4.918
Ba Mg H S
1 1 2 1
direct
0.000 0.000 0.000
0.500 0.500 0.500
0.000 0.500 0.500
0.500 0.000 0.500
0.500 0.500 0.000

=====

Cs2LiCuTe2 (PBE, relaxed); symmetry = No. 72; formation energy from raw total energies = -774 meV per atom
1.0
-3.481 8.459 3.498
3.481 -8.459 3.498
3.481 8.459 -3.498
Cs Li Cu Te
4 2 2 4
direct
0.166 0.248 0.414
0.334 0.748 0.082
0.666 0.252 0.918
0.834 0.752 0.586
0.250 0.250 0.000
0.750 0.750 0.000
0.250 0.750 0.500
0.750 0.250 0.500
0.082 0.734 0.816
0.418 0.234 0.653
0.582 0.766 0.347
0.918 0.266 0.184

=====

Ca3Mg2 (PBE, relaxed); energy relative to the lowest polymorph listed for this composition = 0.000 eV/atom; symmetry = No. 127; formation enthalpy at 0 K = -0.034 eV/atom; DOS at the Fermi energy = 0.885 states/eV/atom
1.0
8.963 0.000 0.000
0.000 8.963 0.000
0.000 0.000 4.329
Ca Mg
6 4
direct
0.000 0.000 0.000
0.168 0.332 0.500
0.332 0.832 0.500
0.500 0.500 0.000
0.668 0.168 0.500
0.832 0.668 0.500
0.125 0.625 0.000
0.375 0.125 0.000
0.625 0.875 0.000
0.875 0.375 0.000

=====

Ce4CdPb (PBE, relaxed); symmetry = No. 191; formation enthalpy at 0 K = -0.138 eV/atom; DOS at the Fermi energy = 2.835 states/eV/atom
1.0
5.302 0.000 0.000
-2.651 4.592 0.000
0.000 0.000 6.286
Ce Cd Pb
4 1 1
direct
0.333 0.667 0.229
0.333 0.667 0.771
0.667 0.333 0.229
0.667 0.333 0.771
0.000 0.000 0.000
0.000 0.000 0.500

=====

Calculated density (computed, g/cm³): 8.71, 11.80, 4.38, 6.91, 9.18, 10.57, 12.41, 11.58, 3.47, 4.77, 1.61, 9.55
Volume (computed, Å³ per cell): 243.92, 134.19, 109.93, 96.60, 376.98, 88.97, 70.41, 73.61, 93.76, 412.03, 347.77, 153.04